(1)
The following is a GGA-PBE calculation of a relaxed Sc2Cd2Pt3 crystal, from Alexandria via LeMat-Bulk.

a b c (Å): 4.6058 4.6108 7.8213
angles (deg): 73.01 72.91 60.19
Space group P-1 (No. 2)
Unique sites:
Sc: 0.1173 0.1168 0.1496 [2 per cell]
Cd: 0.3684 0.3688 0.3943 [2 per cell]
Pt: 0.2406 0.2417 0.7769 [2 per cell]
Pt: 0.5000 0.5000 0.0000 [1 per cell]

Results
For the total energy, the calculation gives -5.53 eV per atom. As for the crystal system: triclinic.



(2)
The following is a GGA-PBE calculation of a relaxed ErPuPtPb crystal, from Alexandria via LeMat-Bulk.

a b c (Å): 7.3413 7.3413 7.3413
angles (deg): 90.00 90.00 90.00
Space group F-43m (No. 216)
Unique sites:
Er: 0.0000 0.0000 0.0000 [4 per cell]
Pu: 0.0000 0.0000 0.5000 [4 per cell]
Pt: 0.2500 0.2500 0.2500 [4 per cell]
Pb: 0.2500 0.2500 0.7500 [4 per cell]

Results
For the total energy, the calculation gives -7.65 eV per atom. As for the crystal system: cubic.



(3)
The following is a GGA-PBE calculation of a relaxed Pm3Dy7In2 crystal, from Alexandria via LeMat-Bulk.

a b c (Å): 5.6590 3.6144 18.4992
angles (deg): 90.00 93.56 90.00
Space group P2/m (No. 10)
Unique sites:
Pm: 0.0000 0.0000 0.0000 [1 per cell]
Pm: 0.2767 0.5000 0.6357 [2 per cell]
Dy: 0.1741 0.5000 0.1490 [2 per cell]
Dy: 0.2413 0.0000 0.4588 [2 per cell]
Dy: 0.3231 0.0000 0.8290 [2 per cell]
Dy: 0.5000 0.5000 0.0000 [1 per cell]
In: 0.2066 0.0000 0.2913 [2 per cell]

Results
For the total energy, the calculation gives -4.38 eV per atom. As for the crystal system: monoclinic.



(4)
The following is a GGA-PBE calculation of a relaxed TaIn4Pb crystal, from Alexandria via LeMat-Bulk.

a b c (Å): 8.3324 8.3324 8.3324
angles (deg): 90.00 90.00 90.00
Space group F-43m (No. 216)
Unique sites:
Ta: 0.0000 0.0000 0.0000 [4 per cell]
In: 0.1258 0.1258 0.6258 [16 per cell]
Pb: 0.2500 0.2500 0.2500 [4 per cell]

Results
For the total energy, the calculation gives -3.88 eV per atom. As for the crystal system: cubic.



(5)
The following is a GGA-PBE calculation of a relaxed AcCe2As2Rh7 crystal, from Alexandria via LeMat-Bulk.

a b c (Å): 5.9695 5.8615 13.2152
angles (deg): 90.00 100.90 90.00
Space group C2/m (No. 12)
Unique sites:
Ac: 0.0000 0.0000 0.0000 [2 per cell]
Ce: 0.1319 0.0000 0.3512 [4 per cell]
As: 0.1101 0.5000 0.2705 [4 per cell]
Rh: 0.0000 0.5000 0.0000 [2 per cell]
Rh: 0.1782 0.2494 0.8253 [8 per cell]
Rh: 0.1971 0.5000 0.4629 [4 per cell]

Results
For the total energy, the calculation gives -7.07 eV per atom. As for the crystal system: monoclinic.



(6)
The following is a GGA-PBE calculation of a relaxed Cr3W crystal, from Alexandria via LeMat-Bulk.

a b c (Å): 4.9937 8.4955 4.9515
angles (deg): 90.00 90.00 90.00
Space group Pnma (No. 62)
Unique sites:
Cr: 0.0136 0.2500 0.1877 [4 per cell]
Cr: 0.2403 0.0070 0.0758 [8 per cell]
W: 0.0082 0.2500 0.6871 [4 per cell]

Results
For the total energy, the calculation gives -10.17 eV per atom. As for the crystal system: orthorhombic.



(7)
The following is a GGA-PBE calculation of a relaxed Tb2InPb4 crystal, from Alexandria via LeMat-Bulk.

a b c (Å): 9.0102 9.8822 4.7046
angles (deg): 90.00 90.00 90.00
Space group Cmmm (No. 65)
Unique sites:
Tb: 0.0000 0.2301 0.0000 [4 per cell]
In: 0.0000 0.0000 0.5000 [2 per cell]
Pb: 0.2188 0.5000 0.0000 [4 per cell]
Pb: 0.2500 0.2500 0.5000 [4 per cell]

Results
For the total energy, the calculation gives -4.13 eV per atom. As for the energy above the lowest structure with this stoichiometry: 0 meV/atom. As for the crystal system: orthorhombic.



(8)
The following is a GGA-PBE calculation of a relaxed Hf2ZrSi crystal, from Alexandria via LeMat-Bulk.

a b c (Å): 5.7027 9.0173 3.4312
angles (deg): 90.00 113.77 90.00
Space group Cm (No. 8)
Unique sites:
Hf: 0.0000 0.2075 0.0000 [4 per cell]
Zr: 0.1217 0.5000 0.4139 [2 per cell]
Si: 0.2051 0.0000 0.6503 [2 per cell]

Results
The formation energy from raw total energies comes out at -0.321 eV per atom. For the total energy, the calculation gives -8.79 eV per atom. As for the crystal system: monoclinic.



(9)
The following is a GGA-PBE calculation of a relaxed NdDyIrRu crystal, from Alexandria via LeMat-Bulk.

a b c (Å): 6.9457 6.9457 6.9457
angles (deg): 90.00 90.00 90.00
Space group F-43m (No. 216)
Unique sites:
Nd: 0.0000 0.0000 0.0000 [4 per cell]
Dy: 0.0000 0.0000 0.5000 [4 per cell]
Ir: 0.2500 0.2500 0.2500 [4 per cell]
Ru: 0.2500 0.2500 0.7500 [4 per cell]

Results
For the total energy, the calculation gives -7.32 eV per atom. As for the crystal system: cubic.



(10)
The following is a GGA-PBE calculation of a relaxed ThGaTe crystal, from Alexandria via LeMat-Bulk.

a b c (Å): 4.2972 4.2972 8.9834
angles (deg): 90.00 90.00 90.00
Space group P4/nmm (No. 129, origin choice 2)
Unique sites:
Th: 0.2500 0.2500 0.2377 [2 per cell]
Ga: 0.2500 0.7500 0.5000 [2 per cell]
Te: 0.2500 0.2500 0.8670 [2 per cell]

Results
The formation energy from raw total energies comes out at -0.793 eV per atom. For the total energy, the calculation gives -5.32 eV per atom. As for the crystal system: tetragonal.



(11)
The following is a GGA-PBE calculation of a relaxed TmCd7 crystal, from Alexandria via LeMat-Bulk.

a b c (Å): 4.5027 4.5027 18.0241
angles (deg): 90.00 90.00 90.00
Space group I4/mmm (No. 139)
Unique sites:
Tm: 0.0000 0.0000 0.0000 [2 per cell]
Cd: 0.0000 0.0000 0.2463 [4 per cell]
Cd: 0.0000 0.0000 0.5000 [2 per cell]
Cd: 0.0000 0.5000 0.1276 [8 per cell]

Results
For the total energy, the calculation gives -1.49 eV per atom. As for the crystal system: tetragonal.



(12)
The following is a GGA-PBE calculation of a relaxed PmTiSeO2 crystal, from Alexandria via LeMat-Bulk.

a b c (Å): 6.9145 4.1003 7.3044
angles (deg): 90.00 116.75 90.00
Space group P2_1/m (No. 11)
Unique sites:
Pm: 0.2357 0.2500 0.0370 [2 per cell]
Ti: 0.3465 0.7500 0.4431 [2 per cell]
Se: 0.2732 0.7500 0.7524 [2 per cell]
O: 0.1521 0.7500 0.1432 [2 per cell]
O: 0.3387 0.2500 0.4172 [2 per cell]

Results
The formation energy from raw total energies comes out at -2.589 eV per atom. For the total energy, the calculation gives -7.80 eV per atom. As for the crystal system: monoclinic.